Record 1
6
Lattice="4.237 2.446 6.919 -4.237 2.446 6.919 0.000 -4.893 6.919" Properties=species:S:1:pos:R:3 comment="Y2Pu (PBE, optimized geometry)" formation_enthalpy_0k_ev_per_atom=2.439 space_group="No. 227" energy_ev_per_cell=-39.48 pbc="T T T"
Y 0.000 -2.446 11.244
Pu 0.000 0.000 5.189
Y 2.119 1.223 11.244
Pu 0.000 0.000 10.379
Y 0.000 0.000 7.784
Y -2.119 1.223 11.244



Record 2
8
Lattice="-4.118 0.508 -1.939 -0.880 -4.439 0.705 -2.566 1.433 5.823" Properties=species:S:1:pos:R:3 comment="Li2Mg2CdGaAu2 (PBE, optimized geometry)" space_group="No. 115" energy_ev_per_cell=-21.03 pbc="T T T"
Ga -2.499 -1.966 -0.617
Li -1.055 -1.876 1.749
Mg 0.000 0.000 0.000
Au -2.408 -1.120 4.818
Cd -1.283 0.717 2.911
Au -2.657 0.588 0.387
Li -4.009 1.343 3.457
Mg -3.782 -1.249 2.294



Record 3
4
Lattice="1.106 -4.547 -1.473 -3.559 -3.330 -0.562 -1.269 -1.498 -4.496" Properties=species:S:1:pos:R:3 comment="TcPdPb2 (PBE, optimized geometry)" space_group="No. 216" energy_ev_per_cell=-20.45 pbc="T T T"
Pb -2.792 -7.031 -4.898
Tc -0.931 -2.344 -1.633
Pd 0.000 0.000 0.000
Pb -1.861 -4.687 -3.266



Record 4
3
Lattice="1.113 0.602 5.408 3.078 4.283 1.742 -2.357 4.125 2.878" Properties=species:S:1:pos:R:3 comment="CsBiPd (PBE, optimized geometry)" de_polymorph_mev_per_atom=1328 space_group="No. 216" energy_ev_per_cell=-7.16 pbc="T T T"
Pd 1.375 6.757 7.521
Cs 0.000 0.000 0.000
Bi 0.458 2.252 2.507



Record 5
24
Lattice="4.175 0.000 0.000 0.000 12.264 0.000 0.000 0.000 12.645" Properties=species:S:1:pos:R:3 comment="NaTbCdSe3 (PBE, optimized geometry)" de_polymorph_mev_per_atom=23 space_group="No. 62" energy_ev_per_cell=-98.90 pbc="T T T"
Se 3.131 5.209 1.014
Se 1.044 11.341 5.309
Tb 1.044 4.070 12.043
Se 3.131 7.930 3.436
Cd 3.131 3.489 2.960
Cd 1.044 9.621 3.363
Se 1.044 4.333 9.210
Se 3.131 4.163 5.554
Se 3.131 1.969 11.877
Cd 1.044 8.775 9.685
Se 1.044 7.055 11.632
Tb 3.131 8.194 0.602
Tb 1.044 2.062 5.721
Tb 3.131 10.202 6.925
Se 3.131 0.923 7.336
Se 3.131 10.465 9.758
Na 1.044 12.193 11.048
Na 3.131 6.061 7.920
Na 1.044 6.203 4.725
Se 1.044 10.295 0.768
Se 1.044 1.798 2.887
Se 1.044 8.101 7.091
Na 3.131 0.071 1.598
Cd 3.131 2.643 9.283



Record 6
10
Lattice="-5.196 -0.204 2.629 4.768 -1.800 2.826 1.200 7.859 2.981" Properties=species:S:1:pos:R:3 comment="TaCd3Cl6 (PBE, optimized geometry)" space_group="No. 162" energy_ev_per_cell=-33.83 pbc="T T T"
Cl 0.713 5.209 6.169
Cd -1.275 3.194 4.185
Cl -3.308 1.161 2.267
Cl 0.059 0.647 2.267
Cl 3.416 0.084 2.399
Cl 2.552 5.975 3.407
Ta 0.000 0.000 0.000
Cd 0.600 3.930 1.490
Cd 2.047 2.662 4.251
Cl -0.688 6.494 3.344



Record 7
2
Lattice="0.000 3.486 3.486 3.486 0.000 3.486 3.486 3.486 0.000" Properties=species:S:1:pos:R:3 comment="TmBi (PBE, optimized geometry)" space_group="No. 216" energy_ev_per_cell=-9.15 pbc="T T T"
Bi 0.000 0.000 0.000
Tm 1.743 1.743 1.743



Record 8
6
Lattice="5.192 0.000 0.000 0.000 1.786 8.130 0.000 -1.786 8.130" Properties=species:S:1:pos:R:3 comment="Dy2HoTmZn2 (PBE, optimized geometry)" formation_enthalpy_0k_ev_per_atom=-0.233 space_group="No. 38" energy_ev_per_cell=-22.18 pbc="T T T"
Ho 0.000 0.000 12.659
Dy 0.000 0.000 1.317
Tm 2.596 0.000 3.587
Zn 2.596 0.000 9.298
Zn 0.000 0.000 6.977
Dy 2.596 0.000 14.942



Record 9
3
Lattice="0.000 3.985 3.985 3.985 0.000 3.985 3.985 3.985 0.000" Properties=species:S:1:pos:R:3 comment="NaSrLu (PBE, optimized geometry)" de_polymorph_mev_per_atom=0 space_group="No. 216" energy_ev_per_cell=-5.53 pbc="T T T"
Sr 5.977 5.977 5.977
Na 0.000 0.000 0.000
Lu 1.992 1.992 1.992



Record 10
10
Lattice="9.125 -2.004 0.000 9.125 2.004 0.000 -1.876 0.000 8.396" Properties=species:S:1:pos:R:3 comment="Pr2Dy2BBr5 (PBE, optimized geometry)" space_group="No. 12" energy_ev_per_cell=-47.80 pbc="T T T"
Pr -1.450 0.000 6.611
Br 13.887 0.000 5.715
Pr 17.824 0.000 1.785
Br 2.488 0.000 2.681
Dy 4.811 0.000 7.785
Br 14.769 0.000 1.254
Br 1.606 0.000 7.142
B 9.125 0.000 0.000
Dy 11.564 0.000 0.611
Br 8.187 0.000 4.198



Record 11
4
Lattice="0.000 2.958 2.958 2.958 0.000 2.958 2.958 2.958 0.000" Properties=species:S:1:pos:R:3 comment="LiZnNiPd (PBE, optimized geometry)" de_polymorph_mev_per_atom=0 space_group="No. 216" energy_ev_per_cell=-15.29 pbc="T T T"
Zn 0.000 0.000 0.000
Pd 1.479 1.479 1.479
Ni 4.437 4.437 4.437
Li 2.958 2.958 2.958



Record 12
12
Lattice="6.461 -0.997 3.892 -7.051 2.858 0.049 -3.895 -9.677 3.987" Properties=species:S:1:pos:R:3 comment="KNdTmS3 (PBE, optimized geometry)" space_group="No. 63" energy_ev_per_cell=-65.15 pbc="T T T"
Nd -1.947 -4.838 1.994
S 4.641 -3.174 4.648
S -5.651 -7.684 5.238
K -4.491 -0.569 2.051
Tm -0.854 -1.607 3.085
S -9.126 -4.641 3.280
K 0.006 -7.246 5.878
Tm -3.631 -6.208 4.843
Nd 0.000 0.000 0.000
S -4.169 -4.003 3.721
S -0.315 -3.812 4.208
S 1.166 -0.131 2.691